(1)
A relaxed Lu4GaPbC2 crystal, computed with PBE.

```
data_Lu4GaPbC2
_chemical_formula_sum 'Lu4 Ga1 Pb1 C2'
_space_group_name_H-M_alt 'P -6 m 2'
_space_group_IT_number 187
_space_group_name_Hall 'P -6 2'
_cell_length_a 3.5198
_cell_length_b 3.5198
_cell_length_c 15.4264
_cell_angle_alpha 90.00
_cell_angle_beta 90.00
_cell_angle_gamma 120.00
loop_
_atom_site_label
_atom_site_type_symbol
_atom_site_fract_x
_atom_site_fract_y
_atom_site_fract_z
Lu1 Lu 0.0000 0.0000 0.1562
Lu2 Lu 0.6667 0.3333 0.3248
Ga1 Ga 0.6667 0.3333 0.0000
Pb1 Pb 0.0000 0.0000 0.5000
C1 C 0.3333 0.6667 0.2447
```

---

(2)
A relaxed In2Hg2Ge3 crystal, computed with PBE.

```
data_In2Hg2Ge3
_chemical_formula_sum 'In6 Hg6 Ge9'
_space_group_name_H-M_alt 'R 3 m'
_space_group_IT_number 160
_space_group_name_Hall 'R 3 -2"'
_cell_length_a 5.0118
_cell_length_b 5.0118
_cell_length_c 23.3808
_cell_angle_alpha 90.00
_cell_angle_beta 90.00
_cell_angle_gamma 120.00
loop_
_atom_site_label
_atom_site_type_symbol
_atom_site_fract_x
_atom_site_fract_y
_atom_site_fract_z
In1 In 0.0000 0.0000 0.0000
In2 In 0.0000 0.0000 0.4830
Hg1 Hg 0.0000 0.0000 0.2234
Hg2 Hg 0.0000 0.0000 0.7482
Ge1 Ge 0.0000 0.0000 0.3587
Ge2 Ge 0.0000 0.0000 0.6137
Ge3 Ge 0.0000 0.0000 0.8728
```

---

(3)
A relaxed La2CdIn crystal, computed with PBE.

```
data_La2CdIn
_chemical_formula_sum 'La2 Cd1 In1'
_space_group_name_H-M_alt 'P 4/m m m'
_space_group_IT_number 123
_space_group_name_Hall '-P 4 2'
_cell_length_a 5.563
_cell_length_b 5.563
_cell_length_c 3.983
_cell_angle_alpha 90.00
_cell_angle_beta 90.00
_cell_angle_gamma 90.00
loop_
_atom_site_label
_atom_site_type_symbol
_atom_site_fract_x
_atom_site_fract_y
_atom_site_fract_z
La1 La 0.000 0.500 0.000
Cd1 Cd 0.000 0.000 0.500
In1 In 0.500 0.500 0.500
```

---

(4)
A relaxed Er2TmMg3Ga3 crystal, computed with PBE.

```
data_Er2TmMg3Ga3
_chemical_formula_sum 'Er4 Tm2 Mg6 Ga6'
_space_group_name_H-M_alt 'A m m 2'
_space_group_IT_number 38
_cell_length_a 4.404
_cell_length_b 12.484
_cell_length_c 7.221
_cell_angle_alpha 90.00
_cell_angle_beta 90.00
_cell_angle_gamma 90.00
loop_
_space_group_symop_operation_xyz
'x,y,z'
'-x,-y,z'
'-x,y,z'
'x,-y,z'
'x,y+1/2,z+1/2'
'-x,-y+1/2,z+1/2'
'-x,y+1/2,z+1/2'
'x,-y+1/2,z+1/2'
loop_
_atom_site_label
_atom_site_type_symbol
_atom_site_fract_x
_atom_site_fract_y
_atom_site_fract_z
Er1 Er 0.000 0.214 0.000
Tm1 Tm 0.000 0.000 0.642
Mg1 Mg 0.500 0.000 0.970
Mg2 Mg 0.500 0.122 0.336
Ga1 Ga 0.000 0.000 0.215
Ga2 Ga 0.500 0.166 0.714
```

---

(5)
A relaxed LuBeTlCo crystal, computed with PBE.

```
data_LuBeTlCo
_chemical_formula_sum 'Lu4 Be4 Tl4 Co4'
_space_group_name_H-M_alt 'F -4 3 m'
_space_group_IT_number 216
_space_group_name_Hall 'F -4 2 3'
_cell_length_a 6.473
_cell_length_b 6.473
_cell_length_c 6.473
_cell_angle_alpha 90.00
_cell_angle_beta 90.00
_cell_angle_gamma 90.00
loop_
_atom_site_label
_atom_site_type_symbol
_atom_site_fract_x
_atom_site_fract_y
_atom_site_fract_z
Lu1 Lu 0.000 0.000 0.000
Be1 Be 0.250 0.250 0.750
Tl1 Tl 0.250 0.250 0.250
Co1 Co 0.000 0.000 0.500
```

---

(6)
A relaxed DySnAuSe3 crystal, computed with PBE.

```
data_DySnAuSe3
_chemical_formula_sum 'Dy4 Sn4 Au4 Se12'
_space_group_name_H-M_alt 'P n m a'
_space_group_IT_number 62
_cell_length_a 10.659
_cell_length_b 4.072
_cell_length_c 13.647
_cell_angle_alpha 90.00
_cell_angle_beta 90.00
_cell_angle_gamma 90.00
loop_
_space_group_symop_operation_xyz
'x,y,z'
'-x,-y,-z'
'-x+1/2,-y,z+1/2'
'x+1/2,y,-z+1/2'
'x+1/2,-y+1/2,-z+1/2'
'-x+1/2,y+1/2,z+1/2'
'-x,y+1/2,-z'
'x,-y+1/2,z'
loop_
_atom_site_label
_atom_site_type_symbol
_atom_site_fract_x
_atom_site_fract_y
_atom_site_fract_z
Dy1 Dy 0.017 0.250 0.244
Sn1 Sn 0.225 0.750 0.516
Au1 Au 0.241 0.250 0.716
Se1 Se 0.036 0.250 0.608
Se2 Se 0.070 0.750 0.099
Se3 Se 0.234 0.750 0.846
```

---

(7)
A relaxed PrTcBi crystal, computed with PBE.

```
data_PrTcBi
_chemical_formula_sum 'Pr4 Tc4 Bi4'
_space_group_name_H-M_alt 'F -4 3 m'
_space_group_IT_number 216
_space_group_name_Hall 'F -4 2 3'
_cell_length_a 7.011
_cell_length_b 7.011
_cell_length_c 7.011
_cell_angle_alpha 90.00
_cell_angle_beta 90.00
_cell_angle_gamma 90.00
loop_
_atom_site_label
_atom_site_type_symbol
_atom_site_fract_x
_atom_site_fract_y
_atom_site_fract_z
Pr1 Pr 0.000 0.000 0.000
Tc1 Tc 0.000 0.000 0.500
Bi1 Bi 0.250 0.250 0.250
```

---

(8)
A relaxed Tb3Sn5Pb2 crystal, computed with PBE.

```
data_Tb3Sn5Pb2
_chemical_formula_sum 'Tb6 Sn10 Pb4'
_space_group_name_H-M_alt 'C m m m'
_space_group_IT_number 65
_space_group_name_Hall '-C 2 2'
_cell_length_a 4.467
_cell_length_b 26.634
_cell_length_c 4.484
_cell_angle_alpha 90.00
_cell_angle_beta 90.00
_cell_angle_gamma 90.00
loop_
_atom_site_label
_atom_site_type_symbol
_atom_site_fract_x
_atom_site_fract_y
_atom_site_fract_z
Tb1 Tb 0.000 0.000 0.000
Tb2 Tb 0.000 0.313 0.500
Sn1 Sn 0.000 0.095 0.500
Sn2 Sn 0.000 0.404 0.000
Sn3 Sn 0.000 0.500 0.500
Pb1 Pb 0.000 0.209 0.000
```

---

(9)
A relaxed BaLaCuSeS2 crystal, computed with PBE.

```
data_BaLaCuSeS2
_chemical_formula_sum 'Ba4 La4 Cu4 Se4 S8'
_space_group_name_H-M_alt 'C m c m'
_space_group_IT_number 63
_space_group_name_Hall '-C 2c 2'
_cell_length_a 4.185
_cell_length_b 13.938
_cell_length_c 11.019
_cell_angle_alpha 90.00
_cell_angle_beta 90.00
_cell_angle_gamma 90.00
loop_
_atom_site_label
_atom_site_type_symbol
_atom_site_fract_x
_atom_site_fract_y
_atom_site_fract_z
Ba1 Ba 0.000 0.245 0.250
La1 La 0.000 0.000 0.000
Cu1 Cu 0.000 0.466 0.750
Se1 Se 0.000 0.075 0.750
S1 S 0.000 0.370 0.578
```

---

(10)
A relaxed AcThBe crystal, computed with PBE.

```
data_AcThBe
_chemical_formula_sum 'Ac4 Th4 Be4'
_space_group_name_H-M_alt 'F -4 3 m'
_space_group_IT_number 216
_space_group_name_Hall 'F -4 2 3'
_cell_length_a 7.090
_cell_length_b 7.090
_cell_length_c 7.090
_cell_angle_alpha 90.00
_cell_angle_beta 90.00
_cell_angle_gamma 90.00
loop_
_atom_site_label
_atom_site_type_symbol
_atom_site_fract_x
_atom_site_fract_y
_atom_site_fract_z
Ac1 Ac 0.000 0.000 0.000
Th1 Th 0.000 0.000 0.500
Be1 Be 0.250 0.250 0.250
```

---

(11)
A relaxed SnP2Pd crystal, computed with PBE.

```
data_SnP2Pd
_chemical_formula_sum 'Sn4 P8 Pd4'
_space_group_name_H-M_alt 'I -4 2 d'
_space_group_IT_number 122
_space_group_name_Hall 'I -4 2bw'
_cell_length_a 5.674
_cell_length_b 5.674
_cell_length_c 11.356
_cell_angle_alpha 90.00
_cell_angle_beta 90.00
_cell_angle_gamma 90.00
loop_
_atom_site_label
_atom_site_type_symbol
_atom_site_fract_x
_atom_site_fract_y
_atom_site_fract_z
Sn1 Sn 0.000 0.000 0.000
P1 P 0.213 0.750 0.625
Pd1 Pd 0.000 0.000 0.500
```

---

(12)
A relaxed ZrTlAuS3 crystal, computed with PBE.

```
data_ZrTlAuS3
_chemical_formula_sum 'Zr2 Tl2 Au2 S6'
_space_group_name_H-M_alt 'P 1 21/m 1'
_space_group_IT_number 11
_cell_length_a 8.194
_cell_length_b 3.798
_cell_length_c 9.852
_cell_angle_alpha 90.00
_cell_angle_beta 111.53
_cell_angle_gamma 90.00
loop_
_space_group_symop_operation_xyz
'x,y,z'
'-x,-y,-z'
'-x,y+1/2,-z'
'x,-y+1/2,z'
loop_
_atom_site_label
_atom_site_type_symbol
_atom_site_fract_x
_atom_site_fract_y
_atom_site_fract_z
Zr1 Zr 0.193 0.250 0.162
Tl1 Tl 0.227 0.750 0.703
Au1 Au 0.467 0.750 0.386
S1 S 0.041 0.250 0.872
S2 S 0.226 0.250 0.428
S3 S 0.392 0.750 0.126
```

---

(13)
A relaxed LiTa5 crystal, computed with PBE.

```
data_LiTa5
_chemical_formula_sum 'Li1 Ta5'
_space_group_name_H-M_alt 'P 6/m m m'
_space_group_IT_number 191
_space_group_name_Hall '-P 6 2'
_cell_length_a 5.7161
_cell_length_b 5.7161
_cell_length_c 4.4604
_cell_angle_alpha 90.00
_cell_angle_beta 90.00
_cell_angle_gamma 120.00
loop_
_atom_site_label
_atom_site_type_symbol
_atom_site_fract_x
_atom_site_fract_y
_atom_site_fract_z
Li1 Li 0.0000 0.0000 0.0000
Ta1 Ta 0.0000 0.5000 0.5000
Ta2 Ta 0.3333 0.6667 0.0000
```

---

(14)
A relaxed Hf4BiAs2P crystal, computed with PBE.

```
data_Hf4BiAs2P
_chemical_formula_sum 'Hf4 Bi1 As2 P1'
_space_group_name_H-M_alt 'P -6 m 2'
_space_group_IT_number 187
_space_group_name_Hall 'P -6 2'
_cell_length_a 3.8196
_cell_length_b 3.8196
_cell_length_c 13.2043
_cell_angle_alpha 90.00
_cell_angle_beta 90.00
_cell_angle_gamma 120.00
loop_
_atom_site_label
_atom_site_type_symbol
_atom_site_fract_x
_atom_site_fract_y
_atom_site_fract_z
Hf1 Hf 0.0000 0.0000 0.1213
Hf2 Hf 0.6667 0.3333 0.3451
Bi1 Bi 0.0000 0.0000 0.5000
As1 As 0.3333 0.6667 0.2353
P1 P 0.6667 0.3333 0.0000
```

---

(15)
A relaxed TmAgSnTeS2 crystal, computed with PBE.

```
data_TmAgSnTeS2
_chemical_formula_sum 'Tm4 Ag4 Sn4 Te4 S8'
_space_group_name_H-M_alt 'C m c m'
_space_group_IT_number 63
_space_group_name_Hall '-C 2c 2'
_cell_length_a 4.023
_cell_length_b 13.769
_cell_length_c 11.119
_cell_angle_alpha 90.00
_cell_angle_beta 90.00
_cell_angle_gamma 90.00
loop_
_atom_site_label
_atom_site_type_symbol
_atom_site_fract_x
_atom_site_fract_y
_atom_site_fract_z
Tm1 Tm 0.000 0.000 0.000
Ag1 Ag 0.000 0.476 0.250
Sn1 Sn 0.000 0.208 0.750
Te1 Te 0.000 0.117 0.250
S1 S 0.000 0.375 0.062
```

---

(16)
A relaxed PrTmGe crystal, computed with PBE.

```
data_PrTmGe
_chemical_formula_sum 'Pr4 Tm4 Ge4'
_space_group_name_H-M_alt 'F -4 3 m'
_space_group_IT_number 216
_space_group_name_Hall 'F -4 2 3'
_cell_length_a 7.021
_cell_length_b 7.021
_cell_length_c 7.021
_cell_angle_alpha 90.00
_cell_angle_beta 90.00
_cell_angle_gamma 90.00
loop_
_atom_site_label
_atom_site_type_symbol
_atom_site_fract_x
_atom_site_fract_y
_atom_site_fract_z
Pr1 Pr 0.000 0.000 0.000
Tm1 Tm 0.250 0.250 0.750
Ge1 Ge 0.000 0.000 0.500
```

---

(17)
A relaxed CdGeSeO crystal, computed with PBE.

```
data_CdGeSeO
_chemical_formula_sum 'Cd2 Ge2 Se2 O2'
_space_group_name_H-M_alt 'P 4/n m m'
_space_group_IT_number 129
_cell_length_a 3.587
_cell_length_b 3.587
_cell_length_c 11.079
_cell_angle_alpha 90.00
_cell_angle_beta 90.00
_cell_angle_gamma 90.00
loop_
_space_group_symop_operation_xyz
'x,y,z'
'-x,-y,-z'
'-y+1/2,x,z'
'y+1/2,-x,-z'
'-x+1/2,-y+1/2,z'
'x+1/2,y+1/2,-z'
'y,-x+1/2,z'
'-y,x+1/2,-z'
'x+1/2,-y,-z'
'-x+1/2,y,z'
'-y,-x,-z'
'y,x,z'
'-x,y+1/2,-z'
'x,-y+1/2,z'
'y+1/2,x+1/2,-z'
'-y+1/2,-x+1/2,z'
loop_
_atom_site_label
_atom_site_type_symbol
_atom_site_fract_x
_atom_site_fract_y
_atom_site_fract_z
Cd1 Cd 0.250 0.250 0.114
Ge1 Ge 0.250 0.750 0.500
Se1 Se 0.250 0.250 0.707
O1 O 0.250 0.250 0.910
```

---

(18)
A relaxed Rb2Hg2PdBr4Cl4 crystal, computed with PBE.

```
data_Rb2Hg2PdBr4Cl4
_chemical_formula_sum 'Rb4 Hg4 Pd2 Br8 Cl8'
_space_group_name_H-M_alt 'C 1 2/m 1'
_space_group_IT_number 12
_cell_length_a 11.863
_cell_length_b 7.083
_cell_length_c 10.303
_cell_angle_alpha 90.00
_cell_angle_beta 108.82
_cell_angle_gamma 90.00
loop_
_space_group_symop_operation_xyz
'x,y,z'
'-x,-y,-z'
'-x,y,-z'
'x,-y,z'
'x+1/2,y+1/2,z'
'-x+1/2,-y+1/2,-z'
'-x+1/2,y+1/2,-z'
'x+1/2,-y+1/2,z'
loop_
_atom_site_label
_atom_site_type_symbol
_atom_site_fract_x
_atom_site_fract_y
_atom_site_fract_z
Rb1 Rb 0.111 0.000 0.347
Hg1 Hg 0.131 0.500 0.892
Pd1 Pd 0.000 0.500 0.500
Br1 Br 0.091 0.500 0.200
Br2 Br 0.148 0.000 0.001
Cl1 Cl 0.128 0.268 0.630
```

---

(19)
A relaxed DyScHg6 crystal, computed with PBE.

```
data_DyScHg6
_chemical_formula_sum 'Dy1 Sc1 Hg6'
_space_group_name_H-M_alt 'P -6 m 2'
_space_group_IT_number 187
_space_group_name_Hall 'P -6 2'
_cell_length_a 6.5321
_cell_length_b 6.5321
_cell_length_c 4.9548
_cell_angle_alpha 90.00
_cell_angle_beta 90.00
_cell_angle_gamma 120.00
loop_
_atom_site_label
_atom_site_type_symbol
_atom_site_fract_x
_atom_site_fract_y
_atom_site_fract_z
Dy1 Dy 0.0000 0.0000 0.0000
Sc1 Sc 0.3333 0.6667 0.5000
Hg1 Hg 0.0084 0.5042 0.0000
Hg2 Hg 0.3353 0.1677 0.5000
```

---

(20)
A relaxed Ho3ErC2Se2 crystal, computed with PBE.

```
data_Ho3ErC2Se2
_chemical_formula_sum 'Ho3 Er1 C2 Se2'
_space_group_name_H-M_alt 'P 3 m 1'
_space_group_IT_number 156
_cell_length_a 3.7348
_cell_length_b 3.7348
_cell_length_c 13.1904
_cell_angle_alpha 90.00
_cell_angle_beta 90.00
_cell_angle_gamma 120.00
loop_
_space_group_symop_operation_xyz
'x,y,z'
'-y,x-y,z'
'-x+y,-x,z'
'-y,-x,z'
'-x+y,y,z'
'x,x-y,z'
loop_
_atom_site_label
_atom_site_type_symbol
_atom_site_fract_x
_atom_site_fract_y
_atom_site_fract_z
Ho1 Ho 0.0000 0.0000 0.0000
Ho2 Ho 0.0000 0.0000 0.3002
Ho3 Ho 0.3333 0.6667 0.5002
Er1 Er 0.3333 0.6667 0.8004
C1 C 0.6667 0.3333 0.4002
C2 C 0.6667 0.3333 0.9001
Se1 Se 0.0000 0.0000 0.6504
Se2 Se 0.3333 0.6667 0.1502
```

---

Number 1: energy -5.92 eV per atom. Number 2: energy -2.62 eV per atom. Number 3: energy -3.80 eV per atom. Number 4: energy -3.52 eV per atom. Number 5: energy -4.16 eV per atom. Number 6: energy -4.59 eV per atom. Number 7: energy -5.95 eV per atom. Number 8: energy -4.61 eV per atom. Number 9: energy -5.40 eV per atom. Number 10: energy -4.66 eV per atom. Number 11: energy -5.10 eV per atom. Number 12: energy -5.27 eV per atom. Number 13: energy -9.53 eV per atom. Number 14: energy -8.16 eV per atom. Number 15: energy -4.60 eV per atom. Number 16: energy -4.34 eV per atom. Number 17: energy -3.58 eV per atom. Number 18: energy -2.62 eV per atom. Number 19: energy -1.87 eV per atom. Number 20: energy -6.63 eV per atom.